# TlSi PBE relaxed
data_TlSi
_chemical_formula_sum 'Tl4 Si4'
_space_group_name_H-M_alt 'P 1'
_space_group_IT_number 1
_cell_length_a 8.3567
_cell_length_b 3.8064
_cell_length_c 6.5994
_cell_angle_alpha 90.00
_cell_angle_beta 89.10
_cell_angle_gamma 90.00
loop_
_space_group_symop_operation_xyz
'x,y,z'
loop_
_atom_site_label
_atom_site_fract_x
_atom_site_fract_y
_atom_site_fract_z
Tl1 0.9305 0.0000 0.4964
Tl2 0.9305 0.5000 0.9964
Tl3 0.5789 0.0000 0.1584
Tl4 0.5789 0.5000 0.6584
Si1 0.2035 0.0000 0.8312
Si2 0.2035 0.5000 0.3312
Si3 0.3099 0.0000 0.4960
Si4 0.3099 0.5000 0.9960
# Symmetry   Cm, No. 8
# Crystal system   monoclinic
# Total moment   0.00 μB/cell
# Uncorrected formation energy   0.17 eV/atom
# DOS(E_F)   0.38 states/eV per atom



# TlSi23 PBE relaxed
data_TlSi23
_chemical_formula_sum 'Tl2 Si46'
_space_group_name_H-M_alt 'P 1'
_space_group_IT_number 1
_cell_length_a 10.2570
_cell_length_b 10.2570
_cell_length_c 10.2570
_cell_angle_alpha 90.00
_cell_angle_beta 90.00
_cell_angle_gamma 90.00
loop_
_space_group_symop_operation_xyz
'x,y,z'
loop_
_atom_site_label
_atom_site_fract_x
_atom_site_fract_y
_atom_site_fract_z
Tl1 0.0000 0.0000 0.0000
Tl2 0.5000 0.5000 0.5000
Si1 0.2500 0.0000 0.5000
Si2 0.7500 0.0000 0.5000
Si3 0.0000 0.5000 0.2500
Si4 0.0000 0.5000 0.7500
Si5 0.5000 0.2500 0.0000
Si6 0.5000 0.7500 0.0000
Si7 0.6838 0.6838 0.6838
Si8 0.6838 0.3162 0.3162
Si9 0.3162 0.6838 0.3162
Si10 0.3162 0.3162 0.6838
Si11 0.8162 0.8162 0.8162
Si12 0.8162 0.1838 0.1838
Si13 0.1838 0.8162 0.1838
Si14 0.1838 0.1838 0.8162
Si15 0.3162 0.3162 0.3162
Si16 0.3162 0.6838 0.6838
Si17 0.6838 0.3162 0.6838
Si18 0.6838 0.6838 0.3162
Si19 0.1838 0.1838 0.1838
Si20 0.1838 0.8162 0.8162
Si21 0.8162 0.1838 0.8162
Si22 0.8162 0.8162 0.1838
Si23 0.0000 0.6916 0.8827
Si24 0.0000 0.3084 0.1173
Si25 0.0000 0.6916 0.1173
Si26 0.0000 0.3084 0.8827
Si27 0.6916 0.8827 0.0000
Si28 0.6916 0.1173 0.0000
Si29 0.3084 0.8827 0.0000
Si30 0.3084 0.1173 0.0000
Si31 0.8827 0.0000 0.6916
Si32 0.8827 0.0000 0.3084
Si33 0.1173 0.0000 0.3084
Si34 0.1173 0.0000 0.6916
Si35 0.8084 0.5000 0.6173
Si36 0.8084 0.5000 0.3827
Si37 0.1916 0.5000 0.3827
Si38 0.1916 0.5000 0.6173
Si39 0.5000 0.6173 0.8084
Si40 0.5000 0.3827 0.1916
Si41 0.5000 0.6173 0.1916
Si42 0.5000 0.3827 0.8084
Si43 0.6173 0.8084 0.5000
Si44 0.6173 0.1916 0.5000
Si45 0.3827 0.8084 0.5000
Si46 0.3827 0.1916 0.5000
# Symmetry   Pm-3n, No. 223
# Crystal system   cubic
# Total moment   0.00 μB/cell
# Uncorrected formation energy   0.08 eV/atom
# DOS(E_F)   0.15 states/eV per atom